(1)
Below is a relaxed Zn3GaAs crystal, with properties calculated at the PBE level.

abc: 4.923 4.923 4.923
angles: 90.00 90.00 90.00
Fractional coordinates of all 5 atoms:
1 Zn 0.000 0.000 0.500
2 Zn 0.000 0.500 0.000
3 Zn 0.500 0.000 0.000
4 Ga 0.500 0.500 0.500
5 As 0.000 0.000 0.000

Summary:
The energy relative to the lowest polymorph listed for this composition comes out at 0.0000 eV per atom. For the density of states at the Fermi level, the calculation gives 2.11 states/eV per cell. The space group is Pm-3m (221).

(2)
Below is a relaxed Tb2Nd3Sm4 crystal, with properties calculated at the PBE level.

abc: 3.636 3.636 27.003
angles: 90.00 90.00 120.00
Fractional coordinates of all 9 atoms:
1 Tb 0.000 0.000 0.000
2 Tb 0.000 0.000 0.217
3 Nd 0.000 0.000 0.782
4 Nd 0.333 0.667 0.111
5 Nd 0.333 0.667 0.449
6 Sm 0.000 0.000 0.342
7 Sm 0.000 0.000 0.563
8 Sm 0.333 0.667 0.671
9 Sm 0.333 0.667 0.894

Summary:
The energy relative to the lowest polymorph listed for this composition comes out at 0.0525 eV per atom. For the density of states at the Fermi level, the calculation gives 16.47 states/eV per cell. The space group is P3m1 (156).

(3)
Below is a relaxed ScTiSn crystal, with properties calculated at the PBE level.

abc: 4.817 4.817 3.018
angles: 90.00 90.00 120.00
Fractional coordinates of all 3 atoms:
1 Sc 0.000 0.000 0.000
2 Ti 0.333 0.667 0.000
3 Sn 0.667 0.333 0.500

Summary:
As for the final energy: -6.173 eV per atom. For the density of states at the Fermi level, the calculation gives 3.01 states/eV per cell. The space group is P-6m2 (187).

(4)
Below is a relaxed U4Bi8Au3 crystal, with properties calculated at the PBE level.

abc: 4.608 4.608 19.391
angles: 90.00 90.00 90.00
Fractional coordinates of all 15 atoms:
1 U 0.000 0.500 0.114
2 U 0.000 0.500 0.619
3 U 0.500 0.000 0.381
4 U 0.500 0.000 0.886
5 Bi 0.000 0.000 0.246
6 Bi 0.000 0.000 0.754
7 Bi 0.000 0.500 0.397
8 Bi 0.000 0.500 0.911
9 Bi 0.500 0.000 0.089
10 Bi 0.500 0.000 0.603
11 Bi 0.500 0.500 0.247
12 Bi 0.500 0.500 0.753
13 Au 0.000 0.000 0.000
14 Au 0.000 0.000 0.500
15 Au 0.500 0.500 0.500

Summary:
As for the final energy: -5.794 eV per atom. For the density of states at the Fermi level, the calculation gives 30.49 states/eV per cell. The space group is P-4m2 (115).

(5)
Below is a relaxed PrY3Sn2 crystal, with properties calculated at the PBE level.

abc: 9.381 9.381 9.534
angles: 112.68 112.68 28.61
Fractional coordinates of all 12 atoms:
1 Pr 0.115 0.115 0.134
2 Pr 0.885 0.885 0.866
3 Y 0.056 0.056 0.691
4 Y 0.309 0.309 0.109
5 Y 0.354 0.354 0.517
6 Y 0.646 0.646 0.483
7 Y 0.691 0.691 0.891
8 Y 0.944 0.944 0.309
9 Sn 0.242 0.242 0.715
10 Sn 0.490 0.490 0.147
11 Sn 0.510 0.510 0.853
12 Sn 0.758 0.758 0.285

Summary:
As for the final energy: -5.900 eV per atom. For the density of states at the Fermi level, the calculation gives 12.78 states/eV per cell. The space group is C2/m (12).

(6)
Below is a relaxed Si2TeIr crystal, with properties calculated at the PBE level.

abc: 4.284 4.219 4.325
angles: 90.00 96.38 90.00
Fractional coordinates of all 4 atoms:
1 Si 0.119 0.000 0.257
2 Si 0.881 0.000 0.743
3 Te 0.500 0.500 0.000
4 Ir 0.000 0.500 0.500

Summary:
The calculation puts the uncorrected formation energy at 0.1366 eV per atom. For the density of states at the Fermi level, the calculation gives 1.55 states/eV per cell. The space group is P2/m (10).

(7)
Below is a relaxed CuAsPd2Au crystal, with properties calculated at the PBE level.

abc: 4.662 4.662 4.415
angles: 90.00 90.00 90.00
Fractional coordinates of all 5 atoms:
1 Cu 0.000 0.000 0.000
2 As 0.000 0.000 0.500
3 Pd 0.000 0.500 0.500
4 Pd 0.500 0.000 0.500
5 Au 0.500 0.500 0.000

Summary:
As for the final energy: -4.230 eV per atom. For the density of states at the Fermi level, the calculation gives 2.40 states/eV per cell. The space group is P4/mmm (123).

(8)
Below is a relaxed Tb4Nd8Tm3 crystal, with properties calculated at the PBE level.

abc: 9.196 9.196 6.883
angles: 110.53 110.53 83.21
Fractional coordinates of all 15 atoms:
1 Tb 0.000 0.000 0.000
2 Tb 0.000 0.000 0.500
3 Tb 0.000 0.500 0.000
4 Tb 0.500 0.000 0.000
5 Nd 0.244 0.244 0.296
6 Nd 0.247 0.753 0.500
7 Nd 0.296 0.704 0.000
8 Nd 0.298 0.298 0.831
9 Nd 0.702 0.702 0.169
10 Nd 0.704 0.296 0.000
11 Nd 0.753 0.247 0.500
12 Nd 0.756 0.756 0.704
13 Tm 0.000 0.500 0.500
14 Tm 0.500 0.000 0.500
15 Tm 0.500 0.500 0.500

Summary:
As for the final energy: -4.337 eV per atom. For the density of states at the Fermi level, the calculation gives 22.90 states/eV per cell. The space group is C2/m (12).

(9)
Below is a relaxed BeSiW2 crystal, with properties calculated at the PBE level.

abc: 3.697 3.697 17.848
angles: 90.00 90.00 90.00
Fractional coordinates of all 16 atoms:
1 Be 0.000 0.000 0.000
2 Be 0.000 0.500 0.250
3 Be 0.500 0.000 0.750
4 Be 0.500 0.500 0.500
5 Si 0.000 0.000 0.500
6 Si 0.000 0.500 0.750
7 Si 0.500 0.000 0.250
8 Si 0.500 0.500 0.000
9 W 0.242 0.250 0.125
10 W 0.250 0.742 0.375
11 W 0.250 0.758 0.875
12 W 0.258 0.250 0.625
13 W 0.742 0.750 0.625
14 W 0.750 0.242 0.875
15 W 0.750 0.258 0.375
16 W 0.758 0.750 0.125

Summary:
The calculation puts the uncorrected formation energy at 0.6079 eV per atom. For the density of states at the Fermi level, the calculation gives 12.46 states/eV per cell. The space group is I-42d (122).

(10)
Below is a relaxed Ni2IrBr crystal, with properties calculated at the PBE level.

abc: 2.915 2.915 23.758
angles: 90.00 90.00 120.00
Fractional coordinates of all 12 atoms:
1 Ni 0.000 0.000 0.000
2 Ni 0.000 0.000 0.258
3 Ni 0.333 0.667 0.667
4 Ni 0.333 0.667 0.924
5 Ni 0.667 0.333 0.333
6 Ni 0.667 0.333 0.591
7 Ir 0.000 0.000 0.745
8 Ir 0.333 0.667 0.412
9 Ir 0.667 0.333 0.079
10 Br 0.000 0.000 0.514
11 Br 0.333 0.667 0.181
12 Br 0.667 0.333 0.848

Summary:
The energy relative to the lowest polymorph listed for this composition comes out at 0.2537 eV per atom. The calculation puts the uncorrected formation energy at 0.6198 eV per atom. For the density of states at the Fermi level, the calculation gives 20.67 states/eV per cell. The space group is R3m (160).

(11)
Below is a relaxed MnCdTcH crystal, with properties calculated at the PBE level.

abc: 3.224 3.224 9.803
angles: 90.00 90.00 90.00
Fractional coordinates of all 8 atoms:
1 Mn 0.000 0.000 0.000
2 Mn 0.500 0.500 0.500
3 Cd 0.000 0.000 0.685
4 Cd 0.500 0.500 0.185
5 Tc 0.000 0.000 0.375
6 Tc 0.500 0.500 0.875
7 H 0.000 0.000 0.198
8 H 0.500 0.500 0.698

Summary:
The energy relative to the lowest polymorph listed for this composition comes out at 0.0568 eV per atom. For the density of states at the Fermi level, the calculation gives 2.53 states/eV per cell. The space group is I4mm (107).

(12)
Below is a relaxed LiHgAs2 crystal, with properties calculated at the PBE level.

abc: 4.116 4.183 4.579
angles: 90.00 90.00 90.00
Fractional coordinates of all 4 atoms:
1 Li 0.000 0.000 0.000
2 Hg 0.500 0.500 0.000
3 As 0.000 0.500 0.500
4 As 0.500 0.000 0.500

Summary:
As for the final energy: -2.912 eV per atom. For the density of states at the Fermi level, the calculation gives 1.82 states/eV per cell. The space group is Pmmm (47).

(13)
Below is a relaxed ZrFeTe2 crystal, with properties calculated at the PBE level.

abc: 3.647 3.598 6.804
angles: 90.00 99.39 90.00
Fractional coordinates of all 4 atoms:
1 Zr 0.000 0.000 0.000
2 Fe 0.000 0.000 0.500
3 Te 0.400 0.500 0.749
4 Te 0.600 0.500 0.251

Summary:
The calculation puts the uncorrected formation energy at -0.1662 eV per atom. For the density of states at the Fermi level, the calculation gives 5.16 states/eV per cell. The space group is P2/m (10).

(14)
Below is a relaxed ZrCrTc2 crystal, with properties calculated at the PBE level.

abc: 2.807 4.345 5.206
angles: 90.00 100.95 90.00
Fractional coordinates of all 4 atoms:
1 Zr 0.000 0.000 0.000
2 Cr 0.754 0.500 0.273
3 Tc 0.232 0.500 0.730
4 Tc 0.515 0.000 0.492

Summary:
As for the final energy: -9.653 eV per atom. For the density of states at the Fermi level, the calculation gives 3.35 states/eV per cell. The space group is Pm (6).

(15)
Below is a relaxed Li3Pm2Ge4Pt crystal, with properties calculated at the PBE level.

abc: 4.242 4.242 10.268
angles: 90.00 90.00 90.00
Fractional coordinates of all 10 atoms:
1 Li 0.000 0.000 0.000
2 Li 0.000 0.500 0.629
3 Li 0.500 0.000 0.371
4 Pm 0.000 0.500 0.256
5 Pm 0.500 0.000 0.744
6 Ge 0.000 0.000 0.500
7 Ge 0.000 0.500 0.868
8 Ge 0.500 0.000 0.132
9 Ge 0.500 0.500 0.500
10 Pt 0.500 0.500 0.000

Summary:
As for the final energy: -4.632 eV per atom. For the density of states at the Fermi level, the calculation gives 3.52 states/eV per cell. The space group is P-4m2 (115).

(16)
Below is a relaxed Tb6Er2Cd crystal, with properties calculated at the PBE level.

abc: 10.485 10.485 4.967
angles: 90.00 90.00 90.00
Fractional coordinates of all 18 atoms:
1 Tb 0.000 0.333 0.000
2 Tb 0.000 0.667 0.000
3 Tb 0.163 0.163 0.500
4 Tb 0.167 0.500 0.500
5 Tb 0.333 0.000 0.000
6 Tb 0.337 0.663 0.000
7 Tb 0.500 0.167 0.500
8 Tb 0.500 0.833 0.500
9 Tb 0.663 0.337 0.000
10 Tb 0.667 0.000 0.000
11 Tb 0.833 0.500 0.500
12 Tb 0.837 0.837 0.500
13 Er 0.165 0.835 0.500
14 Er 0.335 0.335 0.000
15 Er 0.665 0.665 0.000
16 Er 0.835 0.165 0.500
17 Cd 0.000 0.000 0.000
18 Cd 0.500 0.500 0.500

Summary:
The energy relative to the lowest polymorph listed for this composition comes out at 0.0000 eV per atom. For the density of states at the Fermi level, the calculation gives 26.73 states/eV per cell. The space group is P4_2/mnm (136).

(17)
Below is a relaxed Sm4ErTm2Th crystal, with properties calculated at the PBE level.

abc: 5.042 5.042 10.144
angles: 90.00 90.00 90.00
Fractional coordinates of all 8 atoms:
1 Sm 0.000 0.500 0.249
2 Sm 0.000 0.500 0.751
3 Sm 0.500 0.000 0.249
4 Sm 0.500 0.000 0.751
5 Er 0.000 0.000 0.500
6 Tm 0.000 0.000 0.000
7 Tm 0.500 0.500 0.500
8 Th 0.500 0.500 0.000

Summary:
As for the final energy: -4.940 eV per atom. For the density of states at the Fermi level, the calculation gives 11.53 states/eV per cell. The space group is P4/mmm (123).

(18)
Below is a relaxed Li2MnCoBi crystal, with properties calculated at the PBE level.

abc: 4.648 4.648 4.123
angles: 90.00 90.00 90.00
Fractional coordinates of all 5 atoms:
1 Li 0.000 0.500 0.000
2 Li 0.500 0.000 0.000
3 Mn 0.000 0.000 0.000
4 Co 0.000 0.000 0.500
5 Bi 0.500 0.500 0.500

Summary:
As for the final energy: -4.019 eV per atom. For the density of states at the Fermi level, the calculation gives 6.20 states/eV per cell. The space group is P4/mmm (123).

(19)
Below is a relaxed Ce3ErTh2S6 crystal, with properties calculated at the PBE level.

abc: 6.952 6.952 6.897
angles: 99.67 99.67 119.94
Fractional coordinates of all 12 atoms:
1 Ce 0.000 0.000 0.000
2 Ce 0.331 0.669 0.000
3 Ce 0.669 0.331 0.000
4 Er 0.500 0.500 0.500
5 Th 0.166 0.834 0.500
6 Th 0.834 0.166 0.500
7 S 0.095 0.419 0.255
8 S 0.259 0.259 0.749
9 S 0.419 0.095 0.255
10 S 0.581 0.905 0.745
11 S 0.741 0.741 0.251
12 S 0.905 0.581 0.745

Summary:
The calculation puts the uncorrected formation energy at -1.9638 eV per atom. For the density of states at the Fermi level, the calculation gives 16.57 states/eV per cell. The space group is C2/m (12).

(20)
Below is a relaxed Ca4TbHf3As8 crystal, with properties calculated at the PBE level.

abc: 8.245 8.245 8.245
angles: 58.17 58.17 58.17
Fractional coordinates of all 16 atoms:
1 Ca 0.000 0.000 0.000
2 Ca 0.000 0.500 0.500
3 Ca 0.500 0.000 0.500
4 Ca 0.500 0.500 0.000
5 Tb 0.500 0.500 0.500
6 Hf 0.000 0.000 0.500
7 Hf 0.000 0.500 0.000
8 Hf 0.500 0.000 0.000
9 As 0.230 0.749 0.749
10 As 0.241 0.241 0.241
11 As 0.251 0.251 0.770
12 As 0.251 0.770 0.251
13 As 0.749 0.230 0.749
14 As 0.749 0.749 0.230
15 As 0.759 0.759 0.759
16 As 0.770 0.251 0.251

Summary:
As for the final energy: -6.149 eV per atom. For the density of states at the Fermi level, the calculation gives 2.45 states/eV per cell. The space group is R-3m (166).